[1]
A plane-wave DFT calculation with PBE-GGA was carried out for a relaxed structure of AlHg3F. Values from VASP.

```
&SYSTEM
  ibrav = 0, nat = 5, ntyp = 3
/
ATOMIC_SPECIES
F 19.00 F.upf
Hg 200.59 Hg.upf
Al 26.98 Al.upf
CELL_PARAMETERS angstrom
5.231 0.000 0.000
0.000 5.231 0.000
0.000 0.000 5.231
ATOMIC_POSITIONS crystal
F 0.500 0.500 0.500
Hg 0.000 0.500 0.000
Hg 0.000 0.000 0.500
Hg 0.500 0.000 0.000
Al 0.000 0.000 0.000
```


[2]
A plane-wave DFT calculation with PBE-GGA was carried out for a relaxed structure of Li2Sm2DySn2. Values from VASP.

```
&SYSTEM
  ibrav = 0, nat = 7, ntyp = 4
/
ATOMIC_SPECIES
Li 6.94 Li.upf
Sm 150.36 Sm.upf
Dy 162.50 Dy.upf
Sn 118.71 Sn.upf
CELL_PARAMETERS angstrom
4.787 0.000 0.000
2.394 4.146 0.000
2.394 1.382 9.047
ATOMIC_POSITIONS crystal
Li 0.603 0.603 0.190
Li 0.397 0.397 0.810
Sm 0.128 0.128 0.616
Sm 0.872 0.872 0.384
Dy 0.000 0.000 0.000
Sn 0.734 0.734 0.798
Sn 0.266 0.266 0.202
```


[3]
A plane-wave DFT calculation with PBE-GGA was carried out for a relaxed structure of HgSb. Values from VASP.

```
&SYSTEM
  ibrav = 0, nat = 8, ntyp = 2
/
ATOMIC_SPECIES
Hg 200.59 Hg.upf
Sb 121.76 Sb.upf
CELL_PARAMETERS angstrom
-2.079 4.160 2.613
1.690 0.581 -5.026
-10.345 -2.785 -3.800
ATOMIC_POSITIONS crystal
Hg 0.000 0.000 0.250
Hg 0.000 0.000 0.750
Hg 0.333 0.667 0.750
Hg 0.667 0.333 0.250
Sb 0.333 0.667 0.996
Sb 0.667 0.333 0.496
Sb 0.667 0.333 0.004
Sb 0.333 0.667 0.504
```


[4]
A plane-wave DFT calculation with PBE-GGA was carried out for a relaxed structure of Tm12Tl5Au2. Values from VASP.

```
&SYSTEM
  ibrav = 0, nat = 19, ntyp = 3
/
ATOMIC_SPECIES
Tm 168.93 Tm.upf
Tl 204.38 Tl.upf
Au 196.97 Au.upf
CELL_PARAMETERS angstrom
-5.915 -3.215 -2.516
7.126 -5.795 0.918
-2.074 -2.614 8.215
ATOMIC_POSITIONS crystal
Tm 0.957 0.915 0.184
Tm 0.086 0.688 0.924
Tm 0.602 0.688 0.924
Tm 0.109 0.702 0.512
Tm 0.593 0.702 0.512
Tm 0.498 0.996 0.697
Tm 0.502 0.004 0.303
Tm 0.891 0.298 0.488
Tm 0.407 0.298 0.488
Tm 0.914 0.312 0.076
Tm 0.398 0.312 0.076
Tm 0.043 0.085 0.816
Tl 0.229 0.457 0.750
Tl 0.295 0.590 0.239
Tl 0.000 0.000 0.500
Tl 0.705 0.410 0.761
Tl 0.771 0.543 0.250
Au 0.689 0.000 0.000
Au 0.311 0.000 0.000
```


[5]
A plane-wave DFT calculation with PBE-GGA was carried out for a relaxed structure of LaCoRe. Values from VASP.

```
&SYSTEM
  ibrav = 0, nat = 3, ntyp = 3
/
ATOMIC_SPECIES
Co 58.93 Co.upf
La 138.91 La.upf
Re 186.21 Re.upf
CELL_PARAMETERS angstrom
-1.160 -1.019 3.719
-1.279 -2.136 -3.164
3.632 -2.741 0.382
ATOMIC_POSITIONS crystal
Co 0.000 0.000 0.833
La 0.667 0.333 0.333
Re 0.333 0.667 0.833
```


[6]
A plane-wave DFT calculation with PBE-GGA was carried out for a relaxed structure of Rb2Te2I. Values from VASP.

```
&SYSTEM
  ibrav = 0, nat = 5, ntyp = 3
/
ATOMIC_SPECIES
I 126.90 I.upf
Te 127.60 Te.upf
Rb 85.47 Rb.upf
CELL_PARAMETERS angstrom
-4.525 -1.506 5.163
-3.740 -3.968 -4.435
-1.355 -6.763 1.624
ATOMIC_POSITIONS crystal
I 0.000 0.000 0.000
Te 0.365 0.365 0.269
Te 0.635 0.635 0.731
Rb 0.750 0.250 0.500
Rb 0.250 0.750 0.500
```


[7]
A plane-wave DFT calculation with PBE-GGA was carried out for a relaxed structure of ZrAgBr3. Values from VASP.

```
&SYSTEM
  ibrav = 0, nat = 5, ntyp = 3
/
ATOMIC_SPECIES
Br 79.90 Br.upf
Zr 91.22 Zr.upf
Ag 107.87 Ag.upf
CELL_PARAMETERS angstrom
5.337 0.000 0.000
0.000 5.337 0.000
0.000 0.000 5.337
ATOMIC_POSITIONS crystal
Br 0.000 0.500 0.000
Br 0.000 0.000 0.500
Br 0.500 0.000 0.000
Zr 0.500 0.500 0.500
Ag 0.000 0.000 0.000
```


[8]
A plane-wave DFT calculation with PBE-GGA was carried out for a relaxed structure of MnBeAs2. Values from VASP.

```
&SYSTEM
  ibrav = 0, nat = 8, ntyp = 3
/
ATOMIC_SPECIES
Be 9.01 Be.upf
As 74.92 As.upf
Mn 54.94 Mn.upf
CELL_PARAMETERS angstrom
-4.978 -1.963 1.125
1.797 -1.777 4.849
-2.904 2.701 5.149
ATOMIC_POSITIONS crystal
Be 0.500 0.500 0.000
Be 0.250 0.750 0.500
As 0.601 0.125 0.250
As 0.149 0.625 0.250
As 0.375 0.399 0.750
As 0.875 0.851 0.750
Mn 0.000 0.000 0.000
Mn 0.750 0.250 0.500
```


[9]
A plane-wave DFT calculation with PBE-GGA was carried out for a relaxed structure of KBeCu2. Values from VASP.

```
&SYSTEM
  ibrav = 0, nat = 8, ntyp = 3
/
ATOMIC_SPECIES
Be 9.01 Be.upf
K 39.10 K.upf
Cu 63.55 Cu.upf
CELL_PARAMETERS angstrom
4.928 0.000 0.000
0.000 4.928 0.000
2.464 2.464 7.412
ATOMIC_POSITIONS crystal
Be 0.500 0.500 0.000
Be 0.250 0.750 0.500
K 0.000 0.000 0.000
K 0.750 0.250 0.500
Cu 0.375 0.125 0.250
Cu 0.375 0.625 0.250
Cu 0.375 0.625 0.750
Cu 0.875 0.625 0.750
```


[10]
A plane-wave DFT calculation with PBE-GGA was carried out for a relaxed structure of SmCu3Sb3. Values from VASP.

```
&SYSTEM
  ibrav = 0, nat = 14, ntyp = 3
/
ATOMIC_SPECIES
Sb 121.76 Sb.upf
Cu 63.55 Cu.upf
Sm 150.36 Sm.upf
CELL_PARAMETERS angstrom
-2.820 -6.408 -0.921
2.278 -0.042 -6.684
6.060 -2.966 2.084
ATOMIC_POSITIONS crystal
Sb 0.250 0.000 0.500
Sb 0.000 0.500 0.250
Sb 0.500 0.750 0.000
Sb 0.750 0.000 0.500
Sb 0.000 0.500 0.750
Sb 0.500 0.250 0.000
Cu 0.000 0.250 0.500
Cu 0.000 0.750 0.500
Cu 0.500 0.000 0.750
Cu 0.750 0.500 0.000
Cu 0.500 0.000 0.250
Cu 0.250 0.500 0.000
Sm 0.500 0.500 0.500
Sm 0.000 0.000 0.000
```


Number 1: E -7.671 eV/cell. Number 2: E -29.077 eV/cell. Number 3: E -16.890 eV/cell. Number 4: E -76.699 eV/cell. Number 5: E -24.004 eV/cell. Number 6: E -13.624 eV/cell. Number 7: E -15.475 eV/cell. Number 8: E -43.640 eV/cell. Number 9: E -22.369 eV/cell. Number 10: E -57.647 eV/cell.